Entry 1:
SrZnNiP2O8 | PBEsol | optimized geometry

The structure in POSCAR format:
```
SrZnNiP2O8
1.0
-2.461 -1.221 4.655
4.241 -5.332 -0.268
4.566 7.677 2.265
O Sr Ni P Zn
16 2 2 4 2
Cartesian
1.084 0.361 2.064
4.444 2.927 5.636
4.198 -2.995 3.465
5.010 -2.419 0.687
3.359 -0.733 5.744
2.939 1.673 4.133
1.902 -1.803 1.015
2.148 4.119 3.187
1.337 3.543 5.964
5.042 2.847 3.175
5.262 0.763 4.588
3.334 6.360 3.198
3.013 -5.236 3.454
2.987 1.857 0.908
3.407 -0.549 2.518
1.304 -1.724 3.477
3.328 5.279 5.600
3.019 -4.155 1.052
4.613 -1.036 4.024
1.733 2.160 2.627
-0.603 1.162 4.599
4.450 2.052 4.370
6.949 -0.038 2.053
1.896 -0.929 2.282
2.158 1.677 5.949
4.188 -0.553 0.702
```

Symmetry: P-1
Formation energy (no corrections): -205.9 kJ/mol of atoms
Magnetization: 0.155 μB/atom
Calculated total energy: -181.8 eV per cell

Entry 2:
As3Ru | PBEsol | optimized geometry

The structure in POSCAR format:
```
As3Ru
1.0
-2.847 2.031 0.711
-4.341 -5.245 -2.396
1.893 0.206 6.989
As Ru
6 2
Cartesian
-4.114 -4.309 0.313
-1.181 1.301 4.990
-3.457 -1.449 3.733
-2.181 1.120 1.499
-3.113 -4.128 3.804
-1.838 -1.558 1.570
-2.381 -0.614 5.656
-2.914 -2.393 -0.353
```

Symmetry: Cmcm
Magnetization: 0.000 μB/atom
Formation energy from the elements: 389 meV/atom
Calculated total energy: -47.9 eV per cell